Computed, not measured: a geometry-optimized AcWBrO4 structure at the GGA+U level of DFT.

## Properties
- volume (Å³ per atom) = 22.27
- uncorrected energy (eV per atom) = -7.128
- density of states at the Fermi level (states/eV/f.u.) = 0.00

Lattice parameters (Å, degrees): 6.824 6.824 7.406 76.93 76.93 70.15
Element x y z (fractional)
Ac: 0.231 0.231 0.865
Ac: 0.769 0.769 0.135
W: 0.635 0.635 0.740
W: 0.365 0.365 0.260
Br: 0.019 0.019 0.246
Br: 0.981 0.981 0.754
O: 0.300 0.300 0.512
O: 0.700 0.700 0.488
O: 0.129 0.491 0.149
O: 0.533 0.533 0.204
O: 0.509 0.871 0.851
O: 0.491 0.129 0.149
O: 0.467 0.467 0.796
O: 0.871 0.509 0.851